# CsK2Tl2 (PBE, relaxed)
# Space-group type: P4/mbm (127)
# Volume in A^3/atom: 49.64
# Calculated total energy in eV per atom: -1.5699
data_CsK2Tl2
_chemical_formula_sum 'Cs2 K4 Tl4'
_symmetry_space_group_name_H-M 'P 1'
_symmetry_Int_Tables_number 1
_cell_length_a 10.048
_cell_length_b 10.048
_cell_length_c 4.917
_cell_angle_alpha 90.00
_cell_angle_beta 90.00
_cell_angle_gamma 90.00
loop_
_symmetry_equiv_pos_as_xyz
'x,y,z'
loop_
_atom_site_label
_atom_site_type_symbol
_atom_site_fract_x
_atom_site_fract_y
_atom_site_fract_z
_atom_site_occupancy
Cs1 Cs 0.000 0.000 0.000 1
Cs2 Cs 0.500 0.500 0.000 1
K1 K 0.172 0.328 0.500 1
K2 K 0.328 0.828 0.500 1
K3 K 0.672 0.172 0.500 1
K4 K 0.828 0.672 0.500 1
Tl1 Tl 0.110 0.610 0.000 1
Tl2 Tl 0.390 0.110 0.000 1
Tl3 Tl 0.610 0.890 0.000 1
Tl4 Tl 0.890 0.390 0.000 1